DFT (PBE-GGA) results for a geometry-optimized Y2SnSe2 structure.

The distance to the lowest polymorph of the same formula is 0.00 eV per formula unit. The uncorrected formation energy comes out at -1.172 eV per atom. As for the total DFT energy (no corrections): -5.952 eV/atom. The space group is I4/mmm.

Cell lengths 5.991, 5.991, 5.991 Å; angles 125.52, 125.52, 80.69 degrees
Fractional positions:
Y 0.250 0.750 0.500
Y 0.750 0.250 0.500
Sn 0.000 0.000 0.000
Se 0.329 0.329 0.000
Se 0.671 0.671 0.000

=====

DFT (PBE-GGA) results for a geometry-optimized YSnSe3 structure.

The distance to the lowest polymorph of the same formula is 0.00 eV per formula unit. The uncorrected formation energy comes out at -0.984 eV per atom. As for the total DFT energy (no corrections): -5.168 eV/atom. The space group is P-6c2.

Cell lengths 6.956, 6.956, 7.054 Å; angles 90.00, 90.00, 120.00 degrees
Fractional positions:
Y 0.000 0.000 0.000
Y 0.000 0.000 0.500
Sn 0.667 0.333 0.000
Sn 0.667 0.333 0.500
Se 0.332 0.005 0.250
Se 0.332 0.327 0.750
Se 0.673 0.005 0.750
Se 0.673 0.668 0.250
Se 0.995 0.327 0.250
Se 0.995 0.668 0.750

=====

DFT (PBE-GGA) results for a geometry-optimized YSn3Se6 structure.

The uncorrected formation energy comes out at -0.709 eV per atom. As for the total DFT energy (no corrections): -4.647 eV/atom. The space group is P2_1/m.

Cell lengths 11.753, 4.050, 12.472 Å; angles 90.00, 111.99, 90.00 degrees
Fractional positions:
Y 0.208 0.250 0.048
Y 0.792 0.750 0.952
Sn 0.040 0.750 0.274
Sn 0.343 0.250 0.451
Sn 0.387 0.750 0.834
Sn 0.613 0.250 0.166
Sn 0.657 0.750 0.549
Sn 0.960 0.250 0.726
Se 0.023 0.750 0.907
Se 0.093 0.250 0.433
Se 0.214 0.250 0.805
Se 0.251 0.750 0.235
Se 0.398 0.750 0.063
Se 0.415 0.750 0.613
Se 0.585 0.250 0.387
Se 0.602 0.250 0.937
Se 0.749 0.250 0.765
Se 0.786 0.750 0.195
Se 0.907 0.750 0.567
Se 0.977 0.250 0.093

=====

DFT (PBE-GGA) results for a geometry-optimized Y2SnSe structure.

The distance to the lowest polymorph of the same formula is 2.09 eV per formula unit. The uncorrected formation energy comes out at -0.755 eV per atom. As for the total DFT energy (no corrections): -5.859 eV/atom. The space group is I-42d.

Cell lengths 8.453, 8.453, 8.453 Å; angles 134.80, 134.80, 65.85 degrees
Fractional positions:
Y 0.108 0.625 0.983
Y 0.375 0.358 0.483
Y 0.642 0.125 0.017
Y 0.875 0.892 0.517
Sn 0.250 0.750 0.500
Sn 0.500 0.500 0.000
Se 0.000 0.000 0.000
Se 0.750 0.250 0.500

=====

DFT (PBE-GGA) results for a geometry-optimized YSnSe3 structure.

The distance to the lowest polymorph of the same formula is 3.04 eV per formula unit. The uncorrected formation energy comes out at -0.376 eV per atom. As for the total DFT energy (no corrections): -4.560 eV/atom. The space group is Pm-3m.

Cell lengths 5.221, 5.221, 5.221 Å; angles 90.00, 90.00, 90.00 degrees
Fractional positions:
Y 0.000 0.000 0.000
Sn 0.500 0.500 0.500
Se 0.000 0.500 0.500
Se 0.500 0.000 0.500
Se 0.500 0.500 0.000

=====

DFT (PBE-GGA) results for a geometry-optimized Y2SnSe5 structure.

The uncorrected formation energy comes out at -1.210 eV per atom. As for the total DFT energy (no corrections): -5.505 eV/atom. The space group is Cmcm.

Cell lengths 7.654, 7.654, 13.095 Å; angles 90.00, 90.00, 135.88 degrees
Fractional positions:
Y 0.167 0.833 0.570
Y 0.167 0.833 0.930
Y 0.833 0.167 0.070
Y 0.833 0.167 0.430
Sn 0.184 0.816 0.250
Sn 0.816 0.184 0.750
Se 0.031 0.969 0.092
Se 0.031 0.969 0.408
Se 0.274 0.726 0.750
Se 0.309 0.691 0.085
Se 0.309 0.691 0.415
Se 0.691 0.309 0.585
Se 0.691 0.309 0.915
Se 0.726 0.274 0.250
Se 0.969 0.031 0.592
Se 0.969 0.031 0.908

=====

> total DFT energy (no corrections) of number 5 (YSnSe3)?

-4.560 eV/atom

=====

> The highest total DFT energy (no corrections) belongs to which entry?

number 5